No. 1
# NaZrSi2O (GGA-PBE, relaxed)
# formation energy from raw total energies = -0.25 eV per atom
data_NaZrSi2O
_chemical_formula_sum 'Na1 Zr1 Si2 O1'
_symmetry_space_group_name_H-M 'P 4/m m m'
_symmetry_Int_Tables_number 123
_symmetry_space_group_name_Hall '-P 4 2'
_cell_length_a 4.5148
_cell_length_b 4.5148
_cell_length_c 4.2366
_cell_angle_alpha 90.00
_cell_angle_beta 90.00
_cell_angle_gamma 90.00
loop_
_atom_site_label
_atom_site_type_symbol
_atom_site_fract_x
_atom_site_fract_y
_atom_site_fract_z
_atom_site_occupancy
Na1 Na 0.0000 0.0000 0.0000 1
Zr1 Zr 0.5000 0.5000 0.0000 1
Si1 Si 0.0000 0.5000 0.5000 1
O1 O 0.5000 0.5000 0.5000 1


No. 2
# KNdPb2I8 (GGA-PBE, relaxed)
# formation energy from raw total energies = -1.00 eV per atom
data_KNdPb2I8
_chemical_formula_sum 'K1 Nd1 Pb2 I8'
_symmetry_space_group_name_H-M 'P -1'
_symmetry_Int_Tables_number 2
_cell_length_a 7.4222
_cell_length_b 7.8650
_cell_length_c 9.7736
_cell_angle_alpha 89.99
_cell_angle_beta 89.97
_cell_angle_gamma 89.22
loop_
_symmetry_equiv_pos_as_xyz
'x,y,z'
'-x,-y,-z'
loop_
_atom_site_label
_atom_site_type_symbol
_atom_site_fract_x
_atom_site_fract_y
_atom_site_fract_z
_atom_site_occupancy
K1 K 0.0000 0.0000 0.0000 1
Nd1 Nd 0.0000 0.0000 0.5000 1
Pb1 Pb 0.5000 0.5001 0.2476 1
I1 I 0.2420 0.3310 0.5001 1
I2 I 0.2483 0.8433 0.7264 1
I3 I 0.2486 0.8438 0.2734 1
I4 I 0.2673 0.3623 0.0001 1


No. 3
# K2TlAg (GGA-PBE, relaxed)
# relative energy among the computed polymorphs = 0.1423 eV/atom
# DFT formation energy = 0.112 eV/atom
data_K2TlAg
_chemical_formula_sum 'K8 Tl4 Ag4'
_symmetry_space_group_name_H-M 'F m -3 m'
_symmetry_Int_Tables_number 225
_symmetry_space_group_name_Hall '-F 4 2 3'
_cell_length_a 8.3983
_cell_length_b 8.3983
_cell_length_c 8.3983
_cell_angle_alpha 90.00
_cell_angle_beta 90.00
_cell_angle_gamma 90.00
loop_
_atom_site_label
_atom_site_type_symbol
_atom_site_fract_x
_atom_site_fract_y
_atom_site_fract_z
_atom_site_occupancy
K1 K 0.2500 0.2500 0.2500 1
Tl1 Tl 0.0000 0.0000 0.0000 1
Ag1 Ag 0.0000 0.0000 0.5000 1


Summary of DOS at the Fermi energy in states/eV per atom
0.659 0.000 1.028
(order as listed above)
Summary of size of the total moment in Bohr magnetons per cell
0.00 0.00 0.00
(order as listed above)